(1)
A plane-wave DFT calculation with PBE-GGA was carried out for a relaxed Tb9YHo2 crystal.

Results
**VASP energy**: -57.1 eV per cell
**Total magnetization**: 0.00 μB/f.u.

Lattice parameters (Å, degrees): 5.030 5.030 15.091 90.00 90.00 90.00
Atoms (fractional coordinates):
Tb1 0.000 0.500 0.168
Ho1 0.000 0.000 0.334
Tb2 0.500 0.000 0.500
Tb3 0.500 0.500 0.334
Tb4 0.500 0.000 0.168
Tb5 0.500 0.000 0.832
Ho2 0.000 0.000 0.666
Tb6 0.000 0.500 0.832
Tb7 0.500 0.500 0.000
Y1 0.000 0.000 0.000
Tb8 0.000 0.500 0.500
Tb9 0.500 0.500 0.666



(2)
A plane-wave DFT calculation with PBE-GGA was carried out for a relaxed Ba2POs crystal.

Results
**VASP energy**: -18.6 eV per cell
**Total magnetization**: 1.03 μB/f.u.

Lattice parameters (Å, degrees): 5.105 5.104 4.319 90.00 90.00 90.00
Each line ends with the local moment (μB).
Atoms (fractional coordinates):
Ba1 0.000 0.000 0.000  -0.02
Os1 0.500 0.000 0.500  1.01
P1 0.000 0.500 0.500  -0.01
Ba2 0.500 0.500 0.000  -0.02



(3)
A plane-wave DFT calculation with PBE-GGA was carried out for a relaxed Tb5Tl2Hg crystal.

Results
**ΔE to the lowest computed polymorph**: 0.000 eV/atom
**VASP energy**: -61.4 eV per cell
**Total magnetization**: 0.00 μB/f.u.

Lattice parameters (Å, degrees): 5.113 6.774 13.222 90.00 90.00 90.00
Atoms (fractional coordinates):
Tb1 0.500 0.333 0.606
Tl1 0.500 0.869 0.647
Tl2 0.500 0.369 0.853
Tb2 0.000 0.129 0.776
Tb3 0.500 0.167 0.106
Tl3 0.500 0.131 0.353
Tb4 0.000 0.871 0.224
Tb5 0.000 0.371 0.276
Tb6 0.500 0.667 0.394
Hg1 0.000 0.000 0.000
Tb7 0.000 0.629 0.724
Tb8 0.000 0.000 0.500
Tb9 0.000 0.500 0.000
Tb10 0.500 0.833 0.894
Hg2 0.000 0.500 0.500
Tl4 0.500 0.631 0.147



(4)
A plane-wave DFT calculation with PBE-GGA was carried out for a relaxed Pm3Pt2Pb crystal.

Results
**VASP energy**: -35.4 eV per cell
**Total magnetization**: 0.00 μB/f.u.

Lattice parameters (Å, degrees): 3.612 3.612 11.683 90.00 90.00 90.00
Atoms (fractional coordinates):
Pm1 0.000 0.000 0.700
Pt1 0.500 0.500 0.847
Pm2 0.000 0.000 0.000
Pb1 0.500 0.500 0.500
Pt2 0.500 0.500 0.153
Pm3 0.000 0.000 0.300



(5)
A plane-wave DFT calculation with PBE-GGA was carried out for a relaxed CsSeBr2N crystal.

Results
**VASP energy**: -15.4 eV per cell
**Energy relative to the elements, uncorrected**: 115 meV/atom
**Total magnetization**: 0.00 μB/f.u.

Lattice parameters (Å, degrees): 6.783 6.783 3.661 90.00 90.00 90.00
Atoms (fractional coordinates):
Br1 0.000 0.500 0.000
Br2 0.500 0.000 0.000
Se1 0.000 0.000 0.500
Cs1 0.500 0.500 0.500
N1 0.000 0.000 0.000



(6)
A plane-wave DFT calculation with PBE-GGA was carried out for a relaxed CeNdCu4 crystal.

Results
**ΔE to the lowest computed polymorph**: 0.000 eV/atom
**VASP energy**: -27.9 eV per cell
**Total magnetization**: 0.91 μB/f.u.

Lattice parameters (Å, degrees): 3.933 3.933 8.251 103.79 103.79 90.00
Each line ends with the local moment (μB).
Atoms (fractional coordinates):
Cu1 0.579 0.579 0.159  0.00
Cu2 0.670 0.170 0.340  0.00
Ce1 0.000 0.000 0.000  0.73
Nd1 0.250 0.750 0.500  0.02
Cu3 0.421 0.421 0.841  0.00
Cu4 0.830 0.330 0.660  0.00



(7)
A plane-wave DFT calculation with PBE-GGA was carried out for a relaxed Cr2FeRe crystal.

Results
**ΔE to the lowest computed polymorph**: 0.020 eV/atom
**VASP energy**: -39.8 eV per cell
**Total magnetization**: 2.67 μB/f.u.

Lattice parameters (Å, degrees): 4.133 4.133 4.133 60.00 60.00 60.00
Each line ends with the local moment (μB).
Atoms (fractional coordinates):
Cr1 0.250 0.250 0.250  1.13
Cr2 0.000 0.000 0.000  -0.31
Re1 0.750 0.750 0.750  0.12
Fe1 0.500 0.500 0.500  1.70



(8)
A plane-wave DFT calculation with PBE-GGA was carried out for a relaxed CdPt4W crystal.

Results
**VASP energy**: -36.7 eV per cell
**Total magnetization**: 1.02 μB/f.u.

Lattice parameters (Å, degrees): 5.260 5.260 5.260 60.00 60.00 60.00
Each line ends with the local moment (μB).
Atoms (fractional coordinates):
Pt1 0.375 0.874 0.375  0.02
Pt2 0.375 0.375 0.375  0.02
Cd1 0.000 0.000 0.000  0.00
Pt3 0.874 0.375 0.375  0.02
W1 0.750 0.750 0.750  0.79
Pt4 0.375 0.375 0.874  0.02



(9)
A plane-wave DFT calculation with PBE-GGA was carried out for a relaxed BaSr2CrN4 crystal.

Results
**VASP energy**: -108.4 eV per cell
**Energy relative to the elements, uncorrected**: -751 meV/atom
**Total magnetization**: 0.00 μB/f.u.

Lattice parameters (Å, degrees): 5.919 6.698 7.879 90.00 90.00 90.00
Atoms (fractional coordinates):
N1 0.473 0.075 0.500
Ba1 0.472 0.883 0.000
Ba2 0.972 0.117 0.500
N2 0.894 0.299 0.187
Sr1 0.982 0.665 0.761
N3 0.894 0.299 0.813
Sr2 0.482 0.335 0.739
Sr3 0.482 0.335 0.261
N4 0.298 0.233 0.000
N5 0.973 0.925 0.000
N6 0.798 0.767 0.500
Cr1 0.505 0.810 0.500
N7 0.394 0.701 0.313
Sr4 0.982 0.665 0.239
N8 0.394 0.701 0.687
Cr2 0.005 0.190 0.000



(10)
A plane-wave DFT calculation with PBE-GGA was carried out for a relaxed CeMg2Ga crystal.

Results
**ΔE to the lowest computed polymorph**: 0.147 eV/atom
**VASP energy**: -12.4 eV per cell
**Total magnetization**: 1.02 μB/f.u.

Lattice parameters (Å, degrees): 3.075 3.075 9.466 90.00 90.00 90.00
Each line ends with the local moment (μB).
Atoms (fractional coordinates):
Mg1 0.000 0.000 0.785  0.00
Ce1 0.500 0.500 0.500  0.76
Mg2 0.000 0.000 0.215  0.00
Ga1 0.500 0.500 0.000  0.00



(11)
A plane-wave DFT calculation with PBE-GGA was carried out for a relaxed ReBrO3 crystal.

Results
**VASP energy**: -22.0 eV per cell
**Energy relative to the elements, uncorrected**: 1396 meV/atom
**Total magnetization**: 5.05 μB/f.u.

Lattice parameters (Å, degrees): 4.035 4.035 4.035 90.00 90.00 90.00
Each line ends with the local moment (μB).
Atoms (fractional coordinates):
O1 0.000 0.000 0.500  0.06
Re1 0.500 0.500 0.500  4.10
O2 0.500 0.000 0.000  0.07
O3 0.000 0.500 0.000  0.11
Br1 0.000 0.000 0.000  0.03



(12)
A plane-wave DFT calculation with PBE-GGA was carried out for a relaxed Er4Al2Tl crystal.

Results
**ΔE to the lowest computed polymorph**: 0.093 eV/atom
**VASP energy**: -57.7 eV per cell
**Total magnetization**: 0.00 μB/f.u.

Lattice parameters (Å, degrees): 7.081 6.616 8.637 90.00 111.67 90.00
Atoms (fractional coordinates):
Al1 0.784 0.750 0.036
Er1 0.399 0.988 0.766
Er2 0.089 0.250 0.259
Er3 0.957 0.250 0.589
Er4 0.911 0.750 0.741
Tl1 0.210 0.750 0.101
Er5 0.043 0.750 0.411
Tl2 0.790 0.250 0.899
Er6 0.399 0.512 0.766
Er7 0.601 0.488 0.234
Al2 0.493 0.750 0.480
Al3 0.216 0.250 0.964
Al4 0.507 0.250 0.520
Er8 0.601 0.012 0.234



(13)
A plane-wave DFT calculation with PBE-GGA was carried out for a relaxed CoN crystal.

Results
**ΔE to the lowest computed polymorph**: 0.137 eV/atom
**VASP energy**: -239.1 eV per cell
**Energy relative to the elements, uncorrected**: 243 meV/atom
**Total magnetization**: 0.00 μB/f.u.

Lattice parameters (Å, degrees): 5.533 9.061 7.931 90.00 90.00 90.00
Atoms (fractional coordinates):
N1 0.250 0.250 0.929
N2 0.750 0.750 0.929
N3 0.000 0.000 0.179
Co1 0.000 0.138 0.000
N4 0.750 0.250 0.071
N5 0.500 0.500 0.179
Co2 0.750 0.112 0.250
N6 0.250 0.750 0.071
N7 0.750 0.250 0.429
N8 0.000 0.000 0.821
N9 0.000 0.500 0.679
N10 0.500 0.000 0.321
Co3 0.250 0.112 0.750
Co4 0.750 0.888 0.750
N11 0.500 0.500 0.821
N12 0.250 0.250 0.571
Co5 0.000 0.638 0.500
Co6 0.500 0.138 0.500
Co7 0.500 0.862 0.500
Co8 0.000 0.362 0.500
N13 0.750 0.750 0.571
Co9 0.250 0.888 0.250
Co10 0.000 0.862 0.000
Co11 0.500 0.638 0.000
Co12 0.250 0.388 0.750
Co13 0.750 0.388 0.250
Co14 0.250 0.612 0.250
Co15 0.750 0.612 0.750
N14 0.250 0.750 0.429
N15 0.000 0.500 0.321
N16 0.500 0.000 0.679
Co16 0.500 0.362 0.000



(14)
A plane-wave DFT calculation with PBE-GGA was carried out for a relaxed PrInAgAu crystal.

Results
**VASP energy**: -15.7 eV per cell
**Total magnetization**: 0.00 μB/f.u.

Lattice parameters (Å, degrees): 5.066 5.066 5.066 60.00 60.00 60.00
Atoms (fractional coordinates):
Pr1 0.000 0.000 0.000
In1 0.500 0.500 0.500
Ag1 0.250 0.250 0.250
Au1 0.750 0.750 0.750



(15)
A plane-wave DFT calculation with PBE-GGA was carried out for a relaxed AgSeO2F crystal.

Results
**VASP energy**: -16.3 eV per cell
**Energy relative to the elements, uncorrected**: 367 meV/atom
**Total magnetization**: 0.34 μB/f.u.

Lattice parameters (Å, degrees): 4.155 4.155 4.099 90.00 90.00 90.00
Each line ends with the local moment (μB).
Atoms (fractional coordinates):
Se1 0.500 0.500 0.500  0.21
F1 0.000 0.000 0.500  0.02
O1 0.000 0.500 0.000  0.01
O2 0.500 0.000 0.000  0.01
Ag1 0.000 0.000 0.000  0.00



(16)
A plane-wave DFT calculation with PBE-GGA was carried out for a relaxed NdEu2Hg crystal.

Results
**ΔE to the lowest computed polymorph**: 0.223 eV/atom
**VASP energy**: -25.6 eV per cell
**Total magnetization**: 15.43 μB/f.u.

Lattice parameters (Å, degrees): 3.682 3.682 12.290 81.38 81.38 60.00
Each line ends with the local moment (μB).
Atoms (fractional coordinates):
Nd1 0.000 0.000 0.000  0.16
Eu1 0.903 0.903 0.292  7.03
Hg1 0.500 0.500 0.500  0.05
Eu2 0.097 0.097 0.708  7.03



(17)
A plane-wave DFT calculation with PBE-GGA was carried out for a relaxed Cu2RuCl5 crystal.

Results
**VASP energy**: -29.7 eV per cell
**Energy relative to the elements, uncorrected**: -370 meV/atom
**Total magnetization**: 1.32 μB/f.u.

Lattice parameters (Å, degrees): 4.906 6.582 8.390 60.67 56.32 67.82
Each line ends with the local moment (μB).
Atoms (fractional coordinates):
Cu1 0.493 0.610 0.125  0.16
Cl1 0.786 0.257 0.226  0.02
Cl2 0.940 0.676 0.325  0.04
Cl3 0.176 0.368 0.722  0.04
Cl4 0.634 0.987 0.979  0.01
Cl5 0.399 0.756 0.816  0.01
Cu2 0.495 0.110 0.568  0.12
Ru1 0.077 0.013 0.017  0.83



(18)
A plane-wave DFT calculation with PBE-GGA was carried out for a relaxed RbNaTa2 crystal.

Results
**ΔE to the lowest computed polymorph**: 0.370 eV/atom
**VASP energy**: -16.3 eV per cell
**Total magnetization**: 1.38 μB/f.u.

Lattice parameters (Å, degrees): 5.174 5.174 5.174 60.00 60.00 60.00
Each line ends with the local moment (μB).
Atoms (fractional coordinates):
Ta1 0.250 0.250 0.250  0.43
Na1 0.000 0.000 0.000  0.01
Rb1 0.500 0.500 0.500  0.03
Ta2 0.750 0.750 0.750  0.43



(19)
A plane-wave DFT calculation with PBE-GGA was carried out for a relaxed Ba2LaMgIn crystal.

Results
**VASP energy**: -11.7 eV per cell
**Total magnetization**: 0.00 μB/f.u.

Lattice parameters (Å, degrees): 6.600 5.417 6.600 90.00 90.00 90.00
Atoms (fractional coordinates):
La1 0.500 0.500 0.500
Ba1 0.500 0.000 0.000
Mg1 0.000 0.500 0.000
Ba2 0.000 0.000 0.500
In1 0.000 0.000 0.000



(20)
A plane-wave DFT calculation with PBE-GGA was carried out for a relaxed TaBeAg crystal.

Results
**ΔE to the lowest computed polymorph**: 0.345 eV/atom
**VASP energy**: -17.4 eV per cell
**Total magnetization**: 0.00 μB/f.u.

Lattice parameters (Å, degrees): 4.254 4.254 2.866 90.00 90.00 120.00
Atoms (fractional coordinates):
Ag1 0.000 0.000 0.166
Ta1 0.333 0.667 0.667
Be1 0.667 0.333 0.167